(1)
A plane-wave DFT calculation with SCAN was carried out for a PBEsol-optimized structure of KTl2Si.

Unit cell a=5.3042 b=5.3042 c=5.3042 alpha=119.66 beta=119.66 gamma=90.58
Fractional positions:
K 0.0000 0.0000 0.0000
Tl 0.5000 0.5000 0.0000
Tl 0.7500 0.2500 0.5000
Si 0.2500 0.7500 0.5000

Properties
**E_tot**: -161.90 eV for the cell shown
**D(E_F)**: 1.28 states/eV/f.u.
**Total magnetic moment**: 0.00 μB/cell
**Formation energy (no corrections)**: 112 kJ/mol of formula units
**ΔE to the lowest computed polymorph**: 0.302 eV per formula unit

=====

(2)
A plane-wave DFT calculation with SCAN was carried out for a PBEsol-optimized structure of TlTe2Cl.

Unit cell a=3.2322 b=3.2322 c=9.8397 alpha=90.00 beta=90.00 gamma=90.00
Fractional positions:
Tl 0.0000 0.0000 0.0000
Te 0.5000 0.5000 0.2712
Te 0.5000 0.5000 0.7288
Cl 0.0000 0.0000 0.5000

Properties
**E_tot**: -154.62 eV for the cell shown
**D(E_F)**: 3.70 states/eV/f.u.
**Total magnetic moment**: 0.00 μB/cell
**Formation energy (no corrections)**: 21 kJ/mol of formula units
**ΔE to the lowest computed polymorph**: 0.991 eV per formula unit

=====

(3)
A plane-wave DFT calculation with SCAN was carried out for a PBEsol-optimized structure of NbBiP3.

Unit cell a=5.0184 b=5.0184 c=5.0184 alpha=90.00 beta=90.00 gamma=90.00
Fractional positions:
Nb 0.0000 0.0000 0.0000
Bi 0.5000 0.5000 0.5000
P 0.0000 0.5000 0.5000
P 0.5000 0.0000 0.5000
P 0.5000 0.5000 0.0000

Properties
**E_tot**: -134.10 eV for the cell shown
**D(E_F)**: 4.70 states/eV/f.u.
**ΔE_f**: 849 kJ/mol of formula units
**Total magnetic moment**: 1.96 μB/cell